# 1
TbHo3Zr, relaxed, DFT PBE; density = 8.459 g cm⁻³; calculated total energy = -5.32 eV/atom; E_form = 0.062 eV per atom; V = 29.25 A^3/atom; polymorph energy (0 for the lowest one) = 10.5 meV per atom
1.0
-2.1557 -2.2927 -1.4046
7.9620 -2.6505 -3.6725
-0.6278 -4.6690 8.6048
Tb Ho Zr
2 6 2
Direct
0.4183 0.8703 0.1518 Tb
0.6257 0.2837 0.2697 Tb
0.0242 0.0819 0.4614 Ho
0.4156 0.8637 0.6652 Ho
0.6284 0.2904 0.7564 Ho
0.0197 0.0721 0.9601 Ho
0.2256 0.4846 0.0523 Ho
0.8184 0.6694 0.3692 Ho
0.2269 0.4860 0.5739 Zr
0.8171 0.6682 0.8477 Zr

---

# 2
Pa2P2Rh3, relaxed, DFT PBE; density = 11.354 g cm⁻³; calculated total energy = -8.39 eV/atom; E_form = -0.983 eV per atom; V = 17.40 A^3/atom
1.0
3.8397 0.0000 0.0000
-1.9199 5.0873 0.2829
0.0000 -0.8213 6.1894
Pa P Rh
2 2 3
Direct
0.6099 0.2197 0.3121 Pa
0.3901 0.7803 0.6879 Pa
0.1127 0.2254 0.6649 P
0.8873 0.7746 0.3351 P
0.3064 0.6129 0.1446 Rh
0.0000 0.0000 0.0000 Rh
0.6936 0.3871 0.8554 Rh

---

# 3
In5Hg2Pb5, relaxed, DFT PBE; density = 9.663 g cm⁻³; calculated total energy = -2.72 eV/atom; E_form = 0.021 eV per atom; V = 28.80 A^3/atom
1.0
-1.4800 -0.4402 -4.8562
-4.1845 -9.8875 -0.5018
-7.0555 0.8198 -0.5976
In Hg Pb
5 2 5
Direct
0.5000 0.5000 0.5000 In
0.4148 0.2531 0.9172 In
0.3319 0.0006 0.3356 In
0.6681 0.9994 0.6644 In
0.5852 0.7469 0.0828 In
0.8301 0.5023 0.8374 Hg
0.1699 0.4977 0.1626 Hg
0.9197 0.7440 0.4166 Pb
0.2504 0.7450 0.7542 Pb
0.7496 0.2550 0.2458 Pb
0.0803 0.2560 0.5834 Pb
0.0000 0.0000 0.0000 Pb